# ThHg2Au

A relaxed structure of ThHg2Au (GGA-PBE, the Alexandria database).

Lattice parameters (Å, degrees): 7.2563 7.2563 7.2563 90.00 90.00 90.00
Last column: nearest neighbours and their distance in Å.
Space group F-43m (No. 216)
Symmetry-distinct sites (fractional):
1 Th 0.0000 0.0000 0.0000  4 Hg 3.14, 4 Au 3.14
2 Hg 0.0000 0.0000 0.5000  4 Hg 3.14, 4 Au 3.14
3 Hg 0.2500 0.2500 0.7500  4 Hg 3.14, 4 Th 3.14
4 Au 0.2500 0.2500 0.2500  4 Hg 3.14, 4 Th 3.14

## Properties
N(E_F) (states/eV/atom): 0.5679
Formation energy from the elements (eV per atom): -0.3740

# GdThZr2

A relaxed structure of GdThZr2 (GGA-PBE, the Alexandria database).

Lattice parameters (Å, degrees): 3.9723 3.9723 7.0143 90.00 90.00 90.00
Last column: nearest neighbours and their distance in Å.
Space group P4/mmm (No. 123)
Symmetry-distinct sites (fractional):
1 Gd 0.0000 0.0000 0.0000  8 Zr 3.43, 2 Th 3.51
2 Th 0.0000 0.0000 0.5000  8 Zr 3.20, 2 Gd 3.51
3 Zr 0.5000 0.5000 0.2817  1 Zr 3.06, 4 Th 3.20

## Properties
N(E_F) (states/eV/atom): 1.2238
Formation energy from the elements (eV per atom): 0.1165

# Nd2Sm3Er7

A relaxed structure of Nd2Sm3Er7 (GGA-PBE, the Alexandria database).

Lattice parameters (Å, degrees): 6.3358 3.5237 17.4963 90.00 96.23 90.00
Last column: nearest neighbours and their distance in Å.
Space group P2/m (No. 10)
Symmetry-distinct sites (fractional):
1 Nd 0.0562 0.0000 0.1742  5 Er 3.42-3.50, 2 Nd 3.52, 4 Sm 3.61-3.66
2 Sm 0.4535 0.5000 0.8414  2 Sm 3.52, 4 Nd 3.61-3.66, 7 Er 3.62-3.73
3 Sm 0.5000 0.0000 0.5000  10 Er 3.52-3.62, 2 Sm 3.52
4 Er 0.0000 0.5000 0.5000  8 Er 3.49-3.54, 4 Sm 3.62
5 Er 0.2262 0.0000 0.6647  1 Nd 3.50, 3 Sm 3.52-3.71, 8 Er 3.52-3.63
6 Er 0.2548 0.0000 0.0000  2 Er 3.11-3.23, 2 Nd 3.42-3.45
7 Er 0.2732 0.5000 0.3370  7 Er 3.49-3.63, 2 Nd 3.50, 3 Sm 3.52-3.73

## Properties
N(E_F) (states/eV/atom): 1.4630
Formation energy from the elements (eV per atom): 0.0874

# HgAsAuBr2

A relaxed structure of HgAsAuBr2 (GGA-PBE, the Alexandria database).

Lattice parameters (Å, degrees): 5.3584 5.3584 5.1911 90.00 90.00 90.00
Last column: nearest neighbours and their distance in Å.
Space group P4/mmm (No. 123)
Symmetry-distinct sites (fractional):
1 Hg 0.0000 0.0000 0.0000  8 Br 3.73, 4 As 3.79
2 As 0.5000 0.5000 0.0000  2 Au 2.60
3 Au 0.5000 0.5000 0.5000  2 As 2.60, 4 Br 2.68
4 Br 0.0000 0.5000 0.5000  2 Au 2.68

## Properties
N(E_F) (states/eV/atom): 0.5480
E_form (uncorrected) (eV per atom): 0.320

# Tc2GeSeBr

A relaxed structure of Tc2GeSeBr (GGA-PBE, the Alexandria database).

Lattice parameters (Å, degrees): 4.6651 4.6651 5.2295 90.00 90.00 90.00
Last column: nearest neighbours and their distance in Å.
Space group P4/mmm (No. 123)
Symmetry-distinct sites (fractional):
1 Tc 0.0000 0.5000 0.0000  2 Br 2.33
2 Ge 0.0000 0.0000 0.5000  2 Br 2.61
3 Se 0.5000 0.5000 0.5000  4 Ge 3.30, 8 Tc 3.50
4 Br 0.0000 0.0000 0.0000  4 Tc 2.33

## Properties
N(E_F) (states/eV/atom): 0.5313
E_form (uncorrected) (eV per atom): 1.575

# CeDyAlAu

A relaxed structure of CeDyAlAu (GGA-PBE, the Alexandria database).

Lattice parameters (Å, degrees): 7.3476 7.3476 7.3476 90.00 90.00 90.00
Last column: nearest neighbours and their distance in Å.
Space group F-43m (No. 216)
Symmetry-distinct sites (fractional):
1 Ce 0.0000 0.0000 0.0000  4 Al 3.18, 4 Au 3.18
2 Dy 0.0000 0.0000 0.5000  4 Al 3.18, 4 Au 3.18
3 Al 0.2500 0.2500 0.7500  4 Dy 3.18, 4 Ce 3.18
4 Au 0.2500 0.2500 0.2500  4 Dy 3.18, 4 Ce 3.18

## Properties
N(E_F) (states/eV/atom): 2.5058
Formation energy from the elements (eV per atom): -0.4381

# PuNb2Mo

A relaxed structure of PuNb2Mo (GGA-PBE, the Alexandria database).

Lattice parameters (Å, degrees): 6.6605 6.6605 6.6605 90.00 90.00 90.00
Last column: nearest neighbours and their distance in Å.
Space group Fm-3m (No. 225)
Symmetry-distinct sites (fractional):
1 Pu 0.0000 0.0000 0.0000  8 Nb 2.88
2 Nb 0.2500 0.2500 0.2500  4 Mo 2.88, 4 Pu 2.88
3 Mo 0.0000 0.0000 0.5000  8 Nb 2.88

## Properties
N(E_F) (states/eV/atom): 1.7838
Formation energy from the elements (eV per atom): 0.1881

# Ce3SmFe

A relaxed structure of Ce3SmFe (GGA-PBE, the Alexandria database).

Lattice parameters (Å, degrees): 5.1983 5.1983 5.1983 90.00 90.00 90.00
Last column: nearest neighbours and their distance in Å.
Space group Pm-3m (No. 221)
Symmetry-distinct sites (fractional):
1 Ce 0.0000 0.0000 0.5000  2 Fe 2.60
2 Sm 0.5000 0.5000 0.5000  12 Ce 3.68
3 Fe 0.0000 0.0000 0.0000  6 Ce 2.60

## Properties
N(E_F) (states/eV/atom): 2.9433
Formation energy from the elements (eV per atom): 0.1050

# Sr2PdBr6

A relaxed structure of Sr2PdBr6 (GGA-PBE, the Alexandria database).

Lattice parameters (Å, degrees): 7.0135 7.8820 12.2259 90.00 124.83 90.00
Last column: nearest neighbours and their distance in Å.
Space group P2_1/c (No. 14)
Symmetry-distinct sites (fractional):
1 Sr 0.2082 0.1122 0.2457  7 Br 3.07-3.39
2 Pd 0.0000 0.0000 0.5000  6 Br 2.67-2.71
3 Br 0.1085 0.1958 0.9451  1 Pd 2.71
4 Br 0.2593 0.6705 0.9393  1 Pd 2.68
5 Br 0.3722 0.0248 0.7514  1 Pd 2.67

## Properties
N(E_F) (states/eV/atom): 0.0510
E_form (uncorrected) (eV per atom): -1.453

# Tb3GeS2

A relaxed structure of Tb3GeS2 (GGA-PBE, the Alexandria database).

Lattice parameters (Å, degrees): 4.0405 5.6825 12.0248 90.00 90.00 90.00
Last column: nearest neighbours and their distance in Å.
Space group Immm (No. 71)
Symmetry-distinct sites (fractional):
1 Tb 0.0000 0.0000 0.0000  2 Ge 2.84, 4 S 2.84
2 Tb 0.0000 0.0000 0.3329  4 S 2.84-2.85, 2 Ge 2.85
3 Ge 0.0000 0.5000 0.0000  6 Tb 2.84-2.85
4 S 0.0000 0.5000 0.3337  6 Tb 2.84-2.85

## Properties
N(E_F) (states/eV/atom): 0.2914
E_form (uncorrected) (eV per atom): -1.697

# PrNdCuNi

A relaxed structure of PrNdCuNi (GGA-PBE, the Alexandria database).

Lattice parameters (Å, degrees): 4.4753 3.8668 10.7317 90.00 90.00 90.00
Last column: nearest neighbours and their distance in Å.
Space group Amm2 (No. 38)
Symmetry-distinct sites (fractional):
1 Pr 0.0000 0.0000 0.0000  3 Ni 2.92-3.18, 4 Cu 3.05
2 Nd 0.5000 0.0000 0.2769  3 Cu 2.93-3.16, 4 Ni 3.06
3 Cu 0.5000 0.0000 0.5712  2 Ni 2.65, 2 Nd 2.93
4 Ni 0.0000 0.0000 0.7040  2 Cu 2.65, 2 Pr 2.92

## Properties
N(E_F) (states/eV/atom): 0.9841
Formation energy from the elements (eV per atom): -0.2343

# NaMoBr4

A relaxed structure of NaMoBr4 (GGA-PBE, the Alexandria database).

Lattice parameters (Å, degrees): 13.4622 3.9504 7.3839 90.00 99.72 90.00
Last column: nearest neighbours and their distance in Å.
Space group C2/m (No. 12)
Symmetry-distinct sites (fractional):
1 Na 0.0000 0.0000 0.0000  6 Br 2.92-3.09
2 Mo 0.0000 0.5000 0.5000  6 Br 2.60-2.66
3 Br 0.1117 0.0000 0.4017  2 Mo 2.66
4 Br 0.1116 0.5000 0.8230  1 Mo 2.60

## Properties
E_form (uncorrected) (eV per atom): -0.829